The following is a PBE calculation of crystalline Li14MgAg at its relaxed geometry, from the Alexandria database.

The total DFT energy (no corrections) is -1.9907 eV/atom. The density of states at the Fermi level comes out at 6.39 states/eV/f.u. For the total magnetization, the calculation gives 0.0 μB per formula unit. The volume is 19.19 Å³ per atom. Its space-group type is Amm2. The energy of formation from the pure elements is -0.038 eV per atom.

Geometry as extended XYZ:
```
16
Lattice="-3.020 -3.696 3.697 2.771 -2.108 -4.932 8.199 -1.465 5.232" Properties=species:S:1:pos:R:3 pbc="T T T"
Li 1.540 -2.445 -3.098
Li -1.333 -3.233 1.184
Li 5.275 -1.820 0.470
Li 0.161 -1.413 -0.648
Li 5.148 -4.770 -0.158
Li 0.039 -4.268 -1.256
Li 5.310 -2.767 4.642
Li 1.326 -2.055 2.099
Li 5.189 -5.607 4.038
Li 1.204 -4.895 1.495
Li 6.604 -3.788 2.195
Li 2.739 -3.098 -0.272
Li 3.909 -4.605 6.574
Li -0.298 -3.854 3.890
Mg 6.656 -2.899 -1.996
Ag 3.737 -3.700 2.354
```

The following is a PBE calculation of crystalline LiMg2Ag at its relaxed geometry, from the Alexandria database.

The total DFT energy (no corrections) is -2.0994 eV/atom. The density of states at the Fermi level comes out at 0.99 states/eV/f.u. For the total magnetization, the calculation gives 0.0 μB per formula unit. The calculation puts the energy above the most stable polymorph in this dataset at 100 meV per atom. The volume is 19.23 Å³ per atom. Its space-group type is C2/m. The energy of formation from the pure elements is -0.111 eV per atom.

Geometry as extended XYZ:
```
4
Lattice="5.602 -0.020 -0.063 -2.529 4.879 0.022 0.544 0.902 2.813" Properties=species:S:1:pos:R:3 pbc="T T T"
Ag -0.992 2.890 1.418
Li 1.537 2.429 -0.020
Mg 0.000 0.000 0.000
Mg 3.073 0.441 1.375
```

The following is a PBE calculation of crystalline Li4Mg2Ag3 at its relaxed geometry, from the Alexandria database.

The total DFT energy (no corrections) is -2.3325 eV/atom. The density of states at the Fermi level comes out at 2.40 states/eV/f.u. For the total magnetization, the calculation gives 0.0 μB per formula unit. The calculation puts the energy above the most stable polymorph in this dataset at 5 meV per atom. The volume is 17.31 Å³ per atom. Its space-group type is C2/m. The energy of formation from the pure elements is -0.177 eV per atom.

Geometry as extended XYZ:
```
9
Lattice="-2.540 3.585 0.936 -3.774 1.098 -3.667 -5.925 -2.384 3.835" Properties=species:S:1:pos:R:3 pbc="T T T"
Li -2.889 1.040 -1.042
Li -9.350 1.260 2.146
Li -4.486 -0.714 1.343
Li -7.753 3.014 -0.239
Mg -5.870 1.989 -1.987
Mg -6.369 0.310 3.091
Ag -7.319 0.349 0.365
Ag 0.000 0.000 0.000
Ag -4.920 1.951 0.738
```

The following is a PBE calculation of crystalline Li5Mg2Ag4 at its relaxed geometry, from the Alexandria database.

The total DFT energy (no corrections) is -2.3227 eV/atom. The density of states at the Fermi level comes out at 4.64 states/eV/f.u. For the total magnetization, the calculation gives 0.0 μB per formula unit. The calculation puts the energy above the most stable polymorph in this dataset at 0 meV per atom. The volume is 18.26 Å³ per atom. Its space-group type is C2/m. The energy of formation from the pure elements is -0.126 eV per atom.

Geometry as extended XYZ:
```
11
Lattice="-2.900 0.523 0.044 -0.678 -3.238 -6.146 0.524 -6.203 9.411" Properties=species:S:1:pos:R:3 pbc="T T T"
Li -0.955 -5.123 -2.074
Li -2.099 -3.796 5.383
Li -0.413 -2.395 1.235
Li -1.450 0.261 0.022
Li -2.641 -6.523 2.075
Mg -1.922 -2.229 -1.506
Mg -1.132 -6.690 4.815
Ag -2.285 -4.400 0.359
Ag -0.617 -3.093 -3.882
Ag -0.769 -4.519 2.950
Ag -2.437 -5.826 7.191
```

The following is a PBE calculation of crystalline LiMg2AgN at its relaxed geometry, from the Alexandria database.

The total DFT energy (no corrections) is -3.5959 eV/atom. The density of states at the Fermi level comes out at 1.96 states/eV/f.u. For the total magnetization, the calculation gives 0.0 μB per formula unit. The volume is 15.19 Å³ per atom. For the uncorrected formation energy, the calculation gives -0.34 eV per atom. Its space-group type is P4/mmm.

Geometry as extended XYZ:
```
5
Lattice="4.227 0.000 0.000 0.000 4.227 0.000 0.000 0.000 4.251" Properties=species:S:1:pos:R:3 pbc="T T T"
Mg 0.000 2.113 0.000
Mg 2.113 0.000 0.000
Li 0.000 0.000 2.125
Ag 2.113 2.113 2.125
N 0.000 0.000 0.000
```

The following is a PBE calculation of crystalline LiMgAg2N at its relaxed geometry, from the Alexandria database.

The total DFT energy (no corrections) is -2.8835 eV/atom. The density of states at the Fermi level comes out at 0.25 states/eV/f.u. For the total magnetization, the calculation gives 0.0 μB per formula unit. The volume is 20.27 Å³ per atom. For the uncorrected formation energy, the calculation gives 0.62 eV per atom. Its space-group type is P4/mmm.

Geometry as extended XYZ:
```
5
Lattice="5.135 0.000 0.000 0.000 3.843 0.000 0.000 0.000 5.135" Properties=species:S:1:pos:R:3 pbc="T T T"
Mg 0.000 0.000 0.000
Li 2.568 1.922 2.568
Ag 0.000 0.000 2.568
Ag 2.568 0.000 0.000
N 0.000 1.922 0.000
```

The following is a PBE calculation of crystalline LiNdMgAg2 at its relaxed geometry, from the Alexandria database.

The total DFT energy (no corrections) is -3.0117 eV/atom. The density of states at the Fermi level comes out at 3.01 states/eV/f.u. For the total magnetization, the calculation gives 0.0 μB per formula unit. The volume is 22.46 Å³ per atom. Its space-group type is I-4m2. The energy of formation from the pure elements is -0.216 eV per atom.

Geometry as extended XYZ:
```
5
Lattice="4.098 0.000 0.000 0.000 4.098 0.000 -2.049 -2.049 6.689" Properties=species:S:1:pos:R:3 pbc="T T T"
Li 2.049 0.000 3.344
Nd 0.000 0.000 0.000
Mg 0.000 2.049 3.344
Ag 2.049 2.049 1.425
Ag 0.000 0.000 5.264
```

The following is a PBE calculation of crystalline LiNdMg2Ag2 at its relaxed geometry, from the Alexandria database.

The total DFT energy (no corrections) is -2.5127 eV/atom. The density of states at the Fermi level comes out at 4.26 states/eV/f.u. For the total magnetization, the calculation gives 0.0 μB per formula unit. The volume is 25.73 Å³ per atom. Its space-group type is I4/mmm. The energy of formation from the pure elements is 0.083 eV per atom.

Geometry as extended XYZ:
```
6
Lattice="-2.533 -1.704 4.349 -0.591 -4.791 -2.221 6.331 1.660 1.091" Properties=species:S:1:pos:R:3 pbc="T T T"
Li 0.000 0.000 0.000
Nd -1.562 -3.247 1.064
Mg 2.089 -3.189 -0.033
Mg 1.118 -1.646 3.252
Ag 1.081 -4.127 2.258
Ag 2.126 -0.708 0.961
```